CsTh3Pa4N12: optimized geometry, GGA-PBE.

Output
- Symmetry: Im-3
- Calculated total energy: -9.31 eV/atom
- Formation energy (no corrections): -1.26 eV/atom
- Magnetization: 0.054 μB per formula unit
- Calculated volume: 325.43 Å³/f.u.

a = 7.505 Å, b = 7.505 Å, c = 7.505 Å
α = 109.47°, β = 109.47°, γ = 109.47°
Atoms (fractional coordinates):
Cs1 0.000 0.000 0.000
Th1 0.000 0.500 0.500
Th2 0.500 0.000 0.500
Th3 0.500 0.500 0.000
Pa1 0.000 0.000 0.500
Pa2 0.000 0.500 0.000
Pa3 0.500 0.000 0.000
Pa4 0.500 0.500 0.500
N1 0.107 0.792 0.315
N2 0.208 0.315 0.523
N3 0.208 0.685 0.893
N4 0.315 0.107 0.792
N5 0.315 0.523 0.208
N6 0.477 0.792 0.685
N7 0.523 0.208 0.315
N8 0.685 0.477 0.792
N9 0.685 0.893 0.208
N10 0.792 0.315 0.107
N11 0.792 0.685 0.477
N12 0.893 0.208 0.685